# 1
Compound: CaCu3Cl
Source: the Alexandria database
Functional: PBE
Structure: optimized geometry

The structure in POSCAR format:
```
CaCu3Cl
1.0
5.281 0.000 0.000
0.000 5.281 0.000
0.000 0.000 5.281
Ca Cu Cl
1 3 1
direct
0.000 0.000 0.000
0.000 0.000 0.500
0.000 0.500 0.000
0.500 0.000 0.000
0.500 0.500 0.500
```

Summary:
- Density of states at the Fermi level: 6.94 states/eV/cell
- Excess energy over the best structure of this formula in the dataset: 628.3 meV per atom
- Uncorrected formation energy: 1154 meV per atom

# 2
Compound: Ca3Cu5Cl12
Source: the Alexandria database
Functional: PBE
Structure: optimized geometry

The structure in POSCAR format:
```
Ca3Cu5Cl12
1.0
-7.636 7.636 7.636
7.636 -7.636 7.636
7.636 7.636 -7.636
Ca Cu Cl
12 20 48
direct
0.125 0.250 0.375
0.125 0.375 0.750
0.250 0.375 0.125
0.250 0.875 0.625
0.375 0.125 0.250
0.375 0.750 0.125
0.625 0.250 0.875
0.625 0.875 0.750
0.750 0.125 0.375
0.750 0.625 0.875
0.875 0.625 0.250
0.875 0.750 0.625
0.000 0.000 0.000
0.000 0.000 0.500
0.000 0.500 0.000
0.000 0.500 0.500
0.125 0.750 0.875
0.125 0.875 0.250
0.250 0.125 0.875
0.250 0.625 0.375
0.375 0.250 0.625
0.375 0.625 0.750
0.500 0.000 0.000
0.500 0.000 0.500
0.500 0.500 0.000
0.500 0.500 0.500
0.625 0.375 0.250
0.625 0.750 0.375
0.750 0.375 0.625
0.750 0.875 0.125
0.875 0.125 0.750
0.875 0.250 0.125
0.032 0.211 0.124
0.032 0.321 0.908
0.087 0.711 0.679
0.087 0.876 0.408
0.092 0.624 0.413
0.092 0.968 0.679
0.124 0.032 0.211
0.124 0.592 0.913
0.179 0.211 0.587
0.179 0.468 0.592
0.211 0.124 0.032
0.211 0.587 0.179
0.289 0.321 0.913
0.289 0.468 0.376
0.321 0.908 0.032
0.321 0.913 0.289
0.376 0.289 0.468
0.376 0.587 0.908
0.408 0.087 0.876
0.408 0.821 0.532
0.413 0.092 0.624
0.413 0.821 0.789
0.468 0.376 0.289
0.468 0.592 0.179
0.532 0.408 0.821
0.532 0.624 0.711
0.587 0.179 0.211
0.587 0.908 0.376
0.592 0.179 0.468
0.592 0.913 0.124
0.624 0.413 0.092
0.624 0.711 0.532
0.679 0.087 0.711
0.679 0.092 0.968
0.711 0.532 0.624
0.711 0.679 0.087
0.789 0.413 0.821
0.789 0.876 0.968
0.821 0.532 0.408
0.821 0.789 0.413
0.876 0.408 0.087
0.876 0.968 0.789
0.908 0.032 0.321
0.908 0.376 0.587
0.913 0.124 0.592
0.913 0.289 0.321
0.968 0.679 0.092
0.968 0.789 0.876
```

Summary:
- Density of states at the Fermi level: 52.08 states/eV/cell
- Uncorrected formation energy: -1284 meV per atom

# 3
Compound: CaCuCl5
Source: the Alexandria database
Functional: PBE
Structure: optimized geometry

The structure in POSCAR format:
```
CaCuCl5
1.0
5.341 -3.740 0.000
5.341 3.740 0.000
-4.478 0.000 8.991
Ca Cu Cl
2 2 10
direct
0.088 0.912 0.750
0.912 0.088 0.250
0.500 0.500 0.000
0.500 0.500 0.500
0.160 0.777 0.468
0.221 0.310 0.891
0.223 0.840 0.032
0.310 0.221 0.391
0.454 0.546 0.750
0.546 0.454 0.250
0.690 0.779 0.609
0.777 0.160 0.968
0.779 0.690 0.109
0.840 0.223 0.532
```

Summary:
- Density of states at the Fermi level: 8.90 states/eV/cell
- Uncorrected formation energy: -1089 meV per atom

# 4
Compound: Ca3CuCl2F6
Source: the Alexandria database
Functional: PBE
Structure: optimized geometry

The structure in POSCAR format:
```
Ca3CuCl2F6
1.0
5.939 -3.520 0.000
5.939 3.520 0.000
-0.838 0.000 5.301
Ca Cu Cl F
3 1 2 6
direct
0.000 0.000 0.000
0.000 0.500 0.500
0.500 0.000 0.500
0.500 0.500 0.500
0.207 0.207 0.853
0.793 0.793 0.147
0.166 0.696 0.708
0.304 0.834 0.292
0.346 0.346 0.356
0.654 0.654 0.644
0.696 0.166 0.708
0.834 0.304 0.292
```

Summary:
- Density of states at the Fermi level: 0.29 states/eV/cell
- Uncorrected formation energy: -2814 meV per atom

# 5
Compound: CaFeCuCl2
Source: the Alexandria database
Functional: PBE
Structure: optimized geometry

The structure in POSCAR format:
```
CaFeCuCl2
1.0
4.836 0.000 0.000
0.000 4.836 0.000
0.000 0.000 4.826
Ca Fe Cu Cl
1 1 1 2
direct
0.000 0.000 0.000
0.500 0.500 0.000
0.500 0.500 0.500
0.000 0.500 0.500
0.500 0.000 0.500
```

Summary:
- Density of states at the Fermi level: 1.37 states/eV/cell
- Uncorrected formation energy: -111 meV per atom

# 6
Compound: Ca2FeCuCl
Source: the Alexandria database
Functional: PBE
Structure: optimized geometry

The structure in POSCAR format:
```
Ca2FeCuCl
1.0
5.590 0.000 0.000
0.000 5.590 0.000
0.000 0.000 4.366
Ca Fe Cu Cl
2 1 1 1
direct
0.000 0.500 0.000
0.500 0.000 0.000
0.000 0.000 0.500
0.000 0.000 0.000
0.500 0.500 0.500
```

Summary:
- Density of states at the Fermi level: 5.98 states/eV/cell
- Uncorrected formation energy: -78 meV per atom